Below is a geometry-optimized BH2Cl structure, with properties calculated at the PBE level.

Geometry as POSCAR:
```
BH2Cl
1.0
0.000 3.290 3.290
3.290 0.000 3.290
3.290 3.290 0.000
B H Cl
2 4 2
direct
0.125 0.125 0.125
0.875 0.875 0.875
0.000 0.000 0.000
0.000 0.000 0.500
0.000 0.500 0.000
0.500 0.000 0.000
0.375 0.375 0.375
0.625 0.625 0.625
```

Results
The value obtained for the distance to the lowest polymorph of the same formula is 3.68 eV per formula unit. The calculation puts the energy at -3.19 eV/atom.

---

Below is a geometry-optimized B2H6Cl structure, with properties calculated at the PBE level.

Geometry as POSCAR:
```
B2H6Cl
1.0
5.022 -1.630 0.000
5.022 1.630 0.000
-0.960 0.000 5.095
B H Cl
2 6 1
direct
0.217 0.217 0.499
0.783 0.783 0.501
0.010 0.724 0.712
0.165 0.165 0.695
0.276 0.990 0.288
0.724 0.010 0.712
0.835 0.835 0.305
0.990 0.276 0.288
0.500 0.500 0.000
```

Results
The value obtained for the distance to the lowest polymorph of the same formula is 0.71 eV per formula unit. The calculation puts the energy at -3.75 eV/atom.

---

- What is the energy in the second record?
  -3.75 eV/atom